Record 1
ZrZnAu | Alexandria | GGA-PBEsol | optimized geometry; ΔH_f (0 K) = -0.5041 eV/atom; D(E_F) = 1.96 states/eV/f.u.; symmetry = P-6m2
1.0
2.9336 0.0000 0.0000
0.0000 4.4972 0.0000
0.0000 -2.2486 3.8947
Zn Au Zr
1 1 1
Cartesian
0.0000 2.2486 1.2982 Zn
0.0000 0.0000 0.0000 Au
1.4668 0.0000 2.5965 Zr

Record 2
ZrMoAs2 | Alexandria | GGA-PBEsol | optimized geometry; ΔH_f (0 K) = -0.0930 eV/atom; D(E_F) = 3.32 states/eV/f.u.; symmetry = R3m; excess energy over the best structure of this formula in the dataset = 129 meV/atom
1.0
3.2163 0.0000 0.0000
1.6081 2.7854 0.0000
1.6081 0.9285 8.1871
Mo As Zr
1 2 1
Cartesian
3.2163 1.8569 4.2277 Mo
4.8244 2.7854 0.0162 As
4.8244 2.7854 5.9353 As
1.6081 0.9285 2.1013 Zr

Record 3
GeMo3Br | Alexandria | GGA-PBEsol | optimized geometry; D(E_F) = 5.93 states/eV/f.u.; symmetry = Pm-3m; uncorrected formation energy = 1.64 eV/atom
1.0
-1.1491 -2.9597 3.2506
1.1485 -3.4452 -2.7309
4.2435 0.1310 1.6194
Mo Ge Br
3 1 1
Cartesian
0.5743 -1.7226 -1.3655 Mo
2.1217 0.0655 0.8097 Mo
-0.5746 -1.4798 1.6253 Mo
2.1214 -3.1370 1.0695 Ge
0.0000 0.0000 0.0000 Br

Record 4
YCuSb2 | Alexandria | GGA-PBEsol | optimized geometry; D(E_F) = 1.22 states/eV/f.u.; symmetry = P4/nmm; excess energy over the best structure of this formula in the dataset = 0 meV/atom; uncorrected formation energy = -0.67 eV/atom
1.0
-2.8966 -2.3809 2.0144
2.6635 -3.3188 -0.0926
3.6866 2.7209 8.5170
Y Cu Sb
2 2 4
Cartesian
4.0948 0.3799 6.3372 Y
-0.5248 -0.5088 3.1407 Y
1.7267 -1.4894 5.2194 Cu
1.8433 1.3605 4.2585 Cu
-0.1166 -2.8498 0.9609 Sb
0.0000 0.0000 0.0000 Sb
2.5814 -0.7370 2.8409 Sb
0.9885 0.6081 6.6370 Sb

Record 5
InFe2Ag | Alexandria | GGA-PBEsol | optimized geometry; ΔH_f (0 K) = 0.2844 eV/atom; D(E_F) = 1.71 states/eV/f.u.; symmetry = I4/mmm
1.0
3.8248 0.0000 0.0000
0.0000 3.8248 0.0000
-1.9124 -1.9124 4.0311
Ag Fe In
1 2 1
Cartesian
1.9124 1.9124 0.0000 Ag
1.9124 0.0000 2.0156 Fe
0.0000 1.9124 2.0156 Fe
0.0000 0.0000 0.0000 In

Record 6
ScBeAu3 | Alexandria | GGA-PBEsol | optimized geometry; ΔH_f (0 K) = 1.0260 eV/atom; D(E_F) = 2.02 states/eV/f.u.; symmetry = Pm-3m
1.0
-4.1480 -2.5634 1.0932
2.0983 -1.5830 4.2501
-1.8339 3.9869 2.3903
Sc Be Au
1 1 3
Cartesian
0.0000 0.0000 0.0000 Sc
-1.9418 -0.0797 3.8668 Be
1.0491 -0.7915 2.1250 Au
-0.9169 1.9934 1.1952 Au
-2.0740 -1.2817 0.5466 Au

Record 7
Ir3Cl2 | Alexandria | GGA-PBEsol | optimized geometry; D(E_F) = 4.10 states/eV/f.u.; symmetry = P-3m1; uncorrected formation energy = 0.96 eV/atom
1.0
3.7857 0.0000 0.0000
-1.8929 3.2785 0.0000
0.0000 0.0000 8.4573
Ir Cl
3 2
Cartesian
0.0000 0.0000 0.0000 Ir
0.0000 2.1857 3.8621 Ir
1.8929 1.0928 4.5952 Ir
0.0000 2.1857 7.3573 Cl
1.8929 1.0928 1.1000 Cl

Record 8
ScCu2O4 | Alexandria | GGA-PBEsol | optimized geometry; D(E_F) = 3.36 states/eV/f.u.; symmetry = I4_1/a; uncorrected formation energy = -1.63 eV/atom
1.0
5.4120 0.0000 0.0000
-2.7060 5.3876 -0.0065
0.0000 2.7240 4.6766
Sc Cu O
2 4 8
Cartesian
0.0000 0.0000 0.0000 Sc
2.7060 4.7368 3.5041 Sc
1.3530 2.3684 1.7521 Cu
0.0000 6.4242 4.0871 Cu
0.0000 5.0622 1.7488 Cu
4.0590 2.3684 1.7521 Cu
-0.8318 4.8301 4.6626 O
1.8742 0.9616 0.6527 O
-1.6580 6.7341 3.3034 O
3.7540 4.2276 1.6318 O
1.6580 5.8967 1.8658 O
1.6580 3.3903 0.1942 O
0.8318 3.7751 2.8514 O
3.5379 2.6306 3.5181 O

Record 9
TlH2OsAu | Alexandria | GGA-PBEsol | optimized geometry; D(E_F) = 3.07 states/eV/f.u.; symmetry = P4/mmm; electronic total energy = -21.0 eV per cell
1.0
3.6981 0.0000 0.0000
0.0000 3.6981 0.0000
0.0000 0.0000 5.3585
Os Tl Au H
1 1 1 2
Cartesian
0.0000 0.0000 2.6793 Os
1.8491 1.8491 2.6793 Tl
0.0000 0.0000 0.0000 Au
0.0000 1.8491 0.0000 H
1.8491 0.0000 0.0000 H

Record 10
Ga2MoSe2O10 | Alexandria | GGA-PBEsol | optimized geometry; D(E_F) = 0.00 states/eV/f.u.; symmetry = Pnma; uncorrected formation energy = -1.46 eV/atom
1.0
-4.8194 -2.0087 3.0225
-3.8372 -2.2793 -7.6333
6.1960 -13.4908 0.9136
Ga Mo Se O
8 4 8 40
Cartesian
0.8945 -13.6746 -1.5697 Ga
-3.3551 -4.1042 -2.1275 Ga
-1.6511 -7.0281 -7.2324 Ga
-0.8095 -10.7507 3.5353 Ga
-4.0039 -8.0087 -5.7569 Ga
1.5433 -9.7701 2.0597 Ga
-1.4583 -14.6552 -0.0941 Ga
-1.0023 -3.1236 -3.6031 Ga
-2.1189 -11.9970 -2.3202 Mo
-0.3418 -5.7818 -1.3770 Mo
-3.3425 -4.5653 -5.3532 Mo
0.8819 -13.2135 1.6560 Mo
-0.2444 -16.6353 -2.4139 Se
-4.3057 -7.2330 -2.6409 Se
-2.2163 -1.1435 -1.2833 Se
1.8450 -10.5458 -1.0562 Se
0.6648 -13.2931 -4.7640 Se
-1.0661 -8.9648 -4.6474 Se
-3.1254 -4.4857 1.0669 Se
-1.3945 -8.8140 0.9503 Se
-3.1416 -2.5518 -0.9897 O
-1.5022 -4.9037 0.6693 O
2.5819 -13.2513 1.6520 O
-5.7089 -6.6842 -1.8057 O
-1.0372 -10.6885 -2.4153 O
-5.3660 -3.9144 -2.1261 O
-1.4842 -16.1294 -1.3496 O
-1.1244 -10.4074 -5.6990 O
2.9054 -13.8644 -1.5710 O
-2.9108 -3.3785 -3.8761 O
2.6917 -10.2435 0.4946 O
-2.8897 -3.6302 -6.6993 O
0.4502 -14.4003 0.1789 O
-0.5844 -7.8200 -5.8235 O
-1.3697 -4.3925 -2.0927 O
3.2482 -11.0946 -1.8914 O
0.6809 -15.2270 -2.7075 O
0.7613 -6.0569 0.1991 O
0.4291 -14.1486 3.0021 O
-0.9764 -1.6494 -2.3476 O
-5.1523 -7.5353 -4.1917 O
-0.9584 -12.8751 -4.3665 O
-2.9272 -6.3185 -5.8561 O
-3.2220 -11.7219 -3.8963 O
-5.0425 -4.5275 -5.3492 O
-1.8762 -9.9588 2.1264 O
-3.1900 -11.5857 -1.0652 O
1.0808 -11.9980 -0.5321 O
-1.0909 -13.3863 -1.6044 O
0.4666 -11.4603 2.1590 O
1.2090 -11.9717 -5.7258 O
-1.4234 -7.0903 -1.2818 O
-1.3363 -7.3714 2.0018 O
-3.8273 -5.1031 -0.4626 O
-3.5414 -5.7808 -3.1651 O
-2.7496 -8.7224 -4.4656 O
1.3666 -12.6757 -3.2345 O
0.7293 -6.1931 -2.6319 O
-3.6697 -5.8071 2.0287 O
0.2890 -9.0564 0.7684 O